Record 1
{"formula": "RbZrCrS4", "functional": "PBE-GGA", "state": "optimized geometry", "space_group": "Imma (74)", "e_form_raw_ev_per_atom": -0.968, "volume_a3_per_cell": 346.8, "crystal_system": "orthorhombic", "lattice": [[-6.885, 3.786, -1.251], [4.347, -2.430, -5.973], [-3.856, -5.293, 5.205]], "species": ["S", "S", "S", "Rb", "S", "Cr", "Rb", "S", "Zr", "S", "Zr", "S", "Cr", "S"], "frac_coords": [[0.306, 0.023, 0.262], [0.258, 0.515, 0.331], [0.283, 0.977, 0.738], [0.841, 0.681, 0.091], [0.258, 0.515, 0.684], [0.000, 0.500, 0.500], [0.159, 0.319, 0.909], [0.717, 0.023, 0.262], [0.500, 0.000, 0.000], [0.742, 0.485, 0.669], [0.500, 0.000, 0.500], [0.742, 0.485, 0.316], [0.500, 0.500, 0.500], [0.694, 0.977, 0.738]]}


Record 2
{"formula": "RbCrSb2", "functional": "PBE-GGA", "state": "optimized geometry", "polymorph_energy_kj_per_mol_atoms": 0.00, "space_group": "R-3m (166)", "e_form_raw_ev_per_atom": -0.023, "volume_a3_per_cell": 126.4, "crystal_system": "trigonal", "lattice": [[4.380, 0.000, 0.000], [2.190, 3.793, 0.000], [2.190, 1.264, 7.608]], "species": ["Sb", "Sb", "Rb", "Cr"], "frac_coords": [[0.715, 0.715, 0.855], [0.285, 0.285, 0.145], [0.500, 0.500, 0.500], [0.000, 0.000, 0.000]]}


Record 3
{"formula": "Rb2CrSb", "functional": "PBE-GGA", "state": "optimized geometry", "space_group": "I-42d (122)", "e_form_raw_ev_per_atom": 0.219, "volume_a3_per_cell": 488.8, "crystal_system": "tetragonal", "lattice": [[13.772, 0.000, 0.000], [0.000, 13.772, 0.000], [6.886, 6.886, 2.577]], "species": ["Rb", "Rb", "Cr", "Sb", "Cr", "Rb", "Rb", "Sb"], "frac_coords": [[0.875, 0.662, 0.750], [0.375, 0.588, 0.750], [0.500, 0.500, 0.000], [0.750, 0.250, 0.500], [0.250, 0.750, 0.500], [0.338, 0.625, 0.250], [0.412, 0.125, 0.250], [0.000, 0.000, 0.000]]}